Below is a relaxed structure of Ga2Pb5, with properties calculated at the PBE-GGA level.

a = 15.9856 Å, b = 15.9856 Å, c = 15.9856 Å
α = 167.33°, β = 167.33°, γ = 17.95°
Closest atoms and distances in Å follow each position.
Sites, in units of the cell vectors:
Ga  0.2272  0.2272  0.0000  4 Ga 2.88
Ga  0.7728  0.7728  0.0000  4 Ga 2.88
Pb  0.0793  0.0793  0.0000  12 Pb 3.53-3.56
Pb  0.3401  0.3401  0.0000  5 Ga 3.28-3.57, 8 Pb 3.53-3.56
Pb  0.5000  0.5000  0.0000  12 Pb 3.53-3.54
Pb  0.6599  0.6599  0.0000  5 Ga 3.28-3.57, 8 Pb 3.53-3.56
Pb  0.9207  0.9207  0.0000  12 Pb 3.53-3.56

- Total magnetic moment: 0.00 μB/f.u.
- Symmetry: I4/mmm
- Total DFT energy (no corrections): -3.489 eV/atom